1.
Material: Tb4PmDy6
Method: DFT, PBE
State: relaxed

excess energy over the best structure of this formula in the dataset = 0.312 eV/atom
magnetization = 0.0000 μB/atom
energy of formation = 4.8 eV per formula unit

Structure (CIF):
```
data_Tb4PmDy6
_chemical_formula_sum 'Tb8 Pm2 Dy12'
_symmetry_space_group_name_H-M 'I -4 2 m'
_symmetry_Int_Tables_number 121
_symmetry_space_group_name_Hall 'I -4 2'
_cell_length_a 7.632
_cell_length_b 7.632
_cell_length_c 13.054
_cell_angle_alpha 90.00
_cell_angle_beta 90.00
_cell_angle_gamma 90.00
loop_
_atom_site_label
_atom_site_fract_x
_atom_site_fract_y
_atom_site_fract_z
Tb1 0.167 0.167 0.424
Pm1 0.000 0.000 0.000
Dy1 0.000 0.500 0.000
Dy2 0.243 0.243 0.186
```

---

2.
Material: Tb2Pm5Dy6
Method: DFT, PBE
State: relaxed

magnetization = 0.0000 μB/atom
energy of formation = 1.2 eV per formula unit

Structure (CIF):
```
data_Tb2Pm5Dy6
_chemical_formula_sum 'Tb4 Pm10 Dy12'
_symmetry_space_group_name_H-M 'P b a m'
_symmetry_Int_Tables_number 55
_cell_length_a 11.677
_cell_length_b 20.517
_cell_length_c 3.597
_cell_angle_alpha 90.00
_cell_angle_beta 90.00
_cell_angle_gamma 90.00
loop_
_symmetry_equiv_pos_as_xyz
'x,y,z'
'-x,-y,-z'
'-x,-y,z'
'x,y,-z'
'x+1/2,-y+1/2,-z'
'-x+1/2,y+1/2,z'
'-x+1/2,y+1/2,-z'
'x+1/2,-y+1/2,z'
loop_
_atom_site_label
_atom_site_fract_x
_atom_site_fract_y
_atom_site_fract_z
Tb1 0.172 0.211 0.000
Pm1 0.000 0.500 0.500
Pm2 0.084 0.774 0.500
Pm3 0.199 0.051 0.500
Dy1 0.060 0.919 0.000
Dy2 0.080 0.632 0.000
Dy3 0.176 0.363 0.500
```

---

3.
Material: TbPm3Dy3
Method: DFT, PBE
State: relaxed

excess energy over the best structure of this formula in the dataset = 0.140 eV/atom
magnetization = 0.0000 μB/atom
energy of formation = 1.1 eV per formula unit

Structure (CIF):
```
data_TbPm3Dy3
_chemical_formula_sum 'Tb6 Pm18 Dy18'
_symmetry_space_group_name_H-M 'R -3'
_symmetry_Int_Tables_number 148
_symmetry_space_group_name_Hall '-R 3'
_cell_length_a 6.2229
_cell_length_b 6.2229
_cell_length_c 43.1747
_cell_angle_alpha 90.00
_cell_angle_beta 90.00
_cell_angle_gamma 120.00
loop_
_atom_site_label
_atom_site_fract_x
_atom_site_fract_y
_atom_site_fract_z
Tb1 0.0000 0.0000 0.1667
Pm1 0.0000 0.3311 0.6314
Dy1 0.9997 0.3331 0.1016
```

---

4.
Material: Tb4Pm4Dy3
Method: DFT, PBE
State: relaxed

excess energy over the best structure of this formula in the dataset = 0.000 eV/atom
magnetization = 0.0000 μB/atom
energy of formation = 0.6 eV per formula unit

Structure (CIF):
```
data_Tb4Pm4Dy3
_chemical_formula_sum 'Tb4 Pm4 Dy3'
_symmetry_space_group_name_H-M 'P -1'
_symmetry_Int_Tables_number 2
_cell_length_a 3.534
_cell_length_b 5.671
_cell_length_c 18.199
_cell_angle_alpha 98.94
_cell_angle_beta 95.56
_cell_angle_gamma 90.01
loop_
_symmetry_equiv_pos_as_xyz
'x,y,z'
'-x,-y,-z'
loop_
_atom_site_label
_atom_site_fract_x
_atom_site_fract_y
_atom_site_fract_z
Tb1 0.045 0.046 0.091
Tb2 0.180 0.680 0.361
Pm1 0.090 0.591 0.181
Pm2 0.233 0.233 0.465
Dy1 0.365 0.864 0.728
Dy2 0.500 0.500 0.000
```

---

> What is the formula in the fourth record?

Tb4Pm4Dy3